Entry 1:
LiAuSe2 | PBE | relaxed

Energy relative to the elements, uncorrected = -405.5 meV per atom
Fermi-level density of states = 0.073 states/eV/atom
Volume = 116.7 Å³/cell
Symmetry = P2/m

```
4
Lattice="5.561 0.000 0.000 0.000 3.617 0.000 -1.530 0.000 5.803" Properties=species:S:1:pos:R:3 pbc="T T T"
Li 0.000 0.000 0.000
Au -0.765 0.000 2.902
Se 0.078 1.808 4.424
Se 3.953 1.808 1.379
```

---

Entry 2:
Bi5As | PBE | relaxed

Fermi-level density of states = 0.678 states/eV/atom
Volume = 186.8 Å³/cell
Symmetry = Cmmm
Energy of formation = 0.91 eV per formula unit

```
6
Lattice="2.448 -10.069 0.000 2.448 10.069 0.000 0.000 0.000 3.789" Properties=species:S:1:pos:R:3 pbc="T T T"
Bi 0.000 0.000 0.000
Bi 2.448 6.123 1.894
Bi 2.448 2.435 0.000
Bi 2.448 -2.435 0.000
Bi 2.448 -6.123 1.894
As 2.448 0.000 1.894
```

---

Entry 3:
Ga2Si2Ag | PBE | relaxed

Energy relative to the elements, uncorrected = 246.2 meV per atom
Fermi-level density of states = 0.365 states/eV/atom
Volume = 180.0 Å³/cell
Symmetry = P4/mbm
Energy above the most stable polymorph in this dataset = 0.000 eV/atom

```
10
Lattice="6.749 0.000 0.000 0.000 6.749 0.000 0.000 0.000 3.952" Properties=species:S:1:pos:R:3 pbc="T T T"
Ga 1.233 2.141 0.000
Ga 2.141 5.515 0.000
Ga 4.608 1.233 0.000
Ga 5.515 4.608 0.000
Si 0.843 4.218 1.976
Si 2.531 0.843 1.976
Si 4.218 5.906 1.976
Si 5.906 2.531 1.976
Ag 0.000 0.000 1.976
Ag 3.374 3.374 1.976
```

---

Entry 4:
NaBr2Cl | PBE | relaxed

Energy relative to the elements, uncorrected = 5.8 meV per atom
Fermi-level density of states = 0.861 states/eV/atom
Volume = 133.7 Å³/cell
Symmetry = R-3m
Energy above the most stable polymorph in this dataset = 0.743 eV/atom

```
4
Lattice="1.732 1.000 12.875 -1.732 1.000 12.875 0.000 -2.000 12.875" Properties=species:S:1:pos:R:3 pbc="T T T"
Na 0.000 0.000 0.000
Br 0.000 0.000 2.610
Br 0.000 0.000 36.016
Cl 0.000 0.000 19.313
```

---

Entry 5:
GaNi8Rh6 | PBE | relaxed

Fermi-level density of states = 1.637 states/eV/atom
Volume = 189.4 Å³/cell
Symmetry = P-1
Energy of formation = -0.49 eV per formula unit

```
15
Lattice="4.532 0.000 0.000 -2.231 6.526 0.000 -1.447 -2.570 6.405" Properties=species:S:1:pos:R:3 pbc="T T T"
Ga 0.000 0.000 0.000
Ni -1.480 2.589 2.144
Ni -2.190 3.933 4.292
Ni 0.033 0.016 4.255
Ni 0.024 5.255 0.007
Ni 0.830 -1.300 6.398
Ni 0.820 3.939 2.150
Ni 3.044 0.022 2.113
Ni 2.334 1.367 4.261
Rh 0.017 2.634 0.004
Rh -1.463 5.190 2.144
Rh 0.818 1.312 2.143
Rh 0.035 2.643 4.262
Rh 2.317 -1.234 4.260
Rh 0.837 1.322 6.401
```

---

Entry 6:
UMo2C | PBE | relaxed

Fermi-level density of states = 1.444 states/eV/atom
Volume = 62.9 Å³/cell
Symmetry = R-3m
Energy of formation = 1.59 eV per formula unit

```
4
Lattice="1.523 0.879 7.829 -1.523 0.879 7.829 0.000 -1.759 7.829" Properties=species:S:1:pos:R:3 pbc="T T T"
U 0.000 0.000 0.000
Mo 0.000 0.000 2.712
Mo 0.000 0.000 20.774
C 0.000 0.000 11.743
```

---

Entry 7:
Ga3NiH | PBE | relaxed

Fermi-level density of states = 0.073 states/eV/atom
Volume = 93.4 Å³/cell
Symmetry = Pm-3m
Energy above the most stable polymorph in this dataset = 0.000 eV/atom

```
5
Lattice="4.537 0.000 0.000 0.000 4.537 0.000 0.000 0.000 4.537" Properties=species:S:1:pos:R:3 pbc="T T T"
Ga 0.000 0.000 2.269
Ga 0.000 2.269 0.000
Ga 2.269 0.000 0.000
Ni 0.000 0.000 0.000
H 2.269 2.269 2.269
```

---

Entry 8:
ScAgC3 | PBE | relaxed

Fermi-level density of states = 0.798 states/eV/atom
Volume = 77.0 Å³/cell
Symmetry = Pm-3m
Energy of formation = 12.37 eV per formula unit

```
5
Lattice="4.254 0.000 0.000 0.000 4.254 0.000 0.000 0.000 4.254" Properties=species:S:1:pos:R:3 pbc="T T T"
Sc 0.000 0.000 0.000
Ag 2.127 2.127 2.127
C 0.000 0.000 2.127
C 0.000 2.127 0.000
C 2.127 0.000 0.000
```

---

What did the first record say?
LiAuSe2 | PBE | relaxed

Energy relative to the elements, uncorrected = -405.5 meV per atom
Fermi-level density of states = 0.073 states/eV/atom
Volume = 116.7 Å³/cell
Symmetry = P2/m

```
4
Lattice="5.561 0.000 0.000 0.000 3.617 0.000 -1.530 0.000 5.803" Properties=species:S:1:pos:R:3 pbc="T T T"
Li 0.000 0.000 0.000
Au -0.765 0.000 2.902
Se 0.078 1.808 4.424
Se 3.953 1.808 1.379
```